# 1
Rb2PbCl4: optimized geometry, PBE.

Values from the calculation:
The calculation puts the total DFT energy (no corrections) at -3.455 eV per atom. As for the space group: I4/mmm, No. 139. Its density of states at the Fermi level is 0.00 states/eV/cell. For the energy relative to the lowest polymorph listed for this composition, the calculation gives 45 meV per atom. The value obtained for the energy relative to the elements, uncorrected is -1.593 eV/atom.

abc: 5.6830 5.6830 9.3213
angles: 72.25 72.25 90.00
Last column: nearest neighbours and their distance in Å.
Fractional coordinates of all 7 atoms:
Pb1 0.0000 0.0000 0.0000  6 Cl 2.84-2.87
Cl1 0.0000 0.5000 0.0000  2 Pb 2.84
Rb1 0.3599 0.3599 0.2803  1 Cl 3.19
Cl2 0.1705 0.1705 0.6591  1 Pb 2.87, 1 Rb 3.19
Cl3 0.8295 0.8295 0.3409  1 Pb 2.87, 1 Rb 3.19
Rb2 0.6401 0.6401 0.7197  1 Cl 3.19
Cl4 0.5000 0.0000 0.0000  2 Pb 2.84


# 2
Li2Cd2Cu15: optimized geometry, PBE.

Values from the calculation:
As for the formation energy: 0.02 eV per atom. The calculation puts the total DFT energy (no corrections) at -3.516 eV per atom. As for the space group: R-3m, No. 166. Its density of states at the Fermi level is 6.26 states/eV/cell.

abc: 6.4290 6.4290 6.4290
angles: 82.07 82.07 82.07
Last column: nearest neighbours and their distance in Å.
Fractional coordinates of all 19 atoms:
Cu1 0.1642 0.6582 0.6582  8 Cu 2.41-2.56, 1 Li 2.64
Li1 0.9008 0.9008 0.9008  1 Li 2.50, 6 Cu 2.58-2.64
Cu2 0.3418 0.8358 0.3418  8 Cu 2.41-2.56, 1 Li 2.64
Cu3 0.0000 0.0000 0.5000  8 Cu 2.45-2.49, 2 Li 2.58
Cu4 0.3418 0.3418 0.8358  8 Cu 2.41-2.56, 1 Li 2.64
Cu5 0.0000 0.6840 0.3160  8 Cu 2.49-2.67
Cd1 0.3458 0.3458 0.3458  12 Cu 2.89-3.14, 1 Li 3.10
Cd2 0.6542 0.6542 0.6542  12 Cu 2.89-3.14, 1 Li 3.10
Cu6 0.6840 0.0000 0.3160  8 Cu 2.49-2.67
Cu7 0.6582 0.1642 0.6582  8 Cu 2.41-2.56, 1 Li 2.64
Cu8 0.0000 0.5000 0.0000  8 Cu 2.45-2.49, 2 Li 2.58
Cu9 0.0000 0.3160 0.6840  8 Cu 2.49-2.67
Cu10 0.3160 0.0000 0.6840  8 Cu 2.49-2.67
Cu11 0.6840 0.3160 0.0000  8 Cu 2.49-2.67
Cu12 0.6582 0.6582 0.1642  8 Cu 2.41-2.56, 1 Li 2.64
Li2 0.0992 0.0992 0.0992  1 Li 2.50, 6 Cu 2.58-2.64
Cu13 0.3160 0.6840 0.0000  8 Cu 2.49-2.67
Cu14 0.8358 0.3418 0.3418  8 Cu 2.41-2.56, 1 Li 2.64
Cu15 0.5000 0.0000 0.0000  8 Cu 2.45-2.49, 2 Li 2.58


# 3
Ce2Cu2SbRh5: optimized geometry, PBE.

Values from the calculation:
The calculation puts the total DFT energy (no corrections) at -6.684 eV per atom. As for the space group: P4/mbm, No. 127. Its density of states at the Fermi level is 9.36 states/eV/cell. The value obtained for the energy relative to the elements, uncorrected is -0.590 eV/atom.

abc: 3.8248 9.4409 9.4409
angles: 90.00 90.00 90.00
Last column: nearest neighbours and their distance in Å.
Fractional coordinates of all 20 atoms:
Rh1 0.5000 0.5000 0.0000  4 Cu 2.53
Ce1 0.0000 0.8277 0.6723  3 Cu 2.72-2.83, 2 Rh 2.99
Cu1 0.0000 0.6239 0.8761  6 Rh 2.53-2.54, 1 Ce 2.72
Rh2 0.5000 0.5744 0.7063  2 Cu 2.54, 2 Sb 2.82
Ce2 0.0000 0.6723 0.1723  3 Cu 2.72-2.83, 2 Rh 2.99
Rh3 0.5000 0.9256 0.2063  2 Cu 2.54, 2 Sb 2.82
Cu2 0.0000 0.8761 0.3761  6 Rh 2.53-2.54, 1 Ce 2.72
Rh4 0.5000 0.7063 0.4256  2 Cu 2.54, 2 Sb 2.82
Rh5 0.5000 0.7937 0.9256  2 Cu 2.54, 2 Sb 2.82
Rh6 0.5000 0.0744 0.7937  2 Cu 2.54, 2 Sb 2.82
Rh7 0.5000 0.2063 0.0744  2 Cu 2.54, 2 Sb 2.82
Cu3 0.0000 0.1239 0.6239  6 Rh 2.53-2.54, 1 Ce 2.72
Ce3 0.0000 0.3277 0.8277  3 Cu 2.72-2.83, 2 Rh 2.99
Cu4 0.0000 0.3761 0.1239  6 Rh 2.53-2.54, 1 Ce 2.72
Rh8 0.5000 0.2937 0.5744  2 Cu 2.54, 2 Sb 2.82
Ce4 0.0000 0.1723 0.3277  3 Cu 2.72-2.83, 2 Rh 2.99
Sb1 0.0000 0.5000 0.5000  8 Rh 2.82
Rh9 0.5000 0.0000 0.5000  4 Cu 2.53
Sb2 0.0000 0.0000 0.0000  8 Rh 2.82
Rh10 0.5000 0.4256 0.2937  2 Cu 2.54, 2 Sb 2.82


# 4
Tc2OsPd: optimized geometry, PBE.

Values from the calculation:
As for the formation energy: 0.08 eV per atom. The calculation puts the total DFT energy (no corrections) at -9.213 eV per atom. As for the space group: R-3m, No. 166. Its density of states at the Fermi level is 5.08 states/eV/cell. For the energy relative to the lowest polymorph listed for this composition, the calculation gives 0 meV per atom.

abc: 2.7403 2.7403 9.1582
angles: 81.40 81.40 60.00
Last column: nearest neighbours and their distance in Å.
Fractional coordinates of all 4 atoms:
Pd1 0.5000 0.5000 0.5000  6 Pd 2.74, 6 Tc 2.81
Tc1 0.2524 0.2524 0.2427  3 Os 2.70, 6 Tc 2.74, 3 Pd 2.81
Tc2 0.7476 0.7476 0.7573  3 Os 2.70, 6 Tc 2.74, 3 Pd 2.81
Os1 0.0000 0.0000 0.0000  6 Tc 2.70, 6 Os 2.74


# 5
ThMnPd4: optimized geometry, PBE.

Values from the calculation:
As for the formation energy: -0.50 eV per atom. The calculation puts the total DFT energy (no corrections) at -6.725 eV per atom. As for the space group: F-43m, No. 216. Its density of states at the Fermi level is 2.88 states/eV/cell.

abc: 5.3805 5.3805 5.3805
angles: 60.00 60.00 60.00
Last column: nearest neighbours and their distance in Å.
Fractional coordinates of all 6 atoms:
Pd1 0.6242 0.6242 0.1273  6 Pd 2.67-2.71
Pd2 0.6242 0.1273 0.6242  6 Pd 2.67-2.71
Th1 0.0000 0.0000 0.0000  12 Pd 3.16, 4 Mn 3.29
Mn1 0.2500 0.2500 0.2500  12 Pd 3.15, 4 Th 3.29
Pd3 0.1273 0.6242 0.6242  6 Pd 2.67-2.71
Pd4 0.6242 0.6242 0.6242  6 Pd 2.67-2.71


# 6
Rb2UInS4: optimized geometry, PBE.

Values from the calculation:
The calculation puts the total DFT energy (no corrections) at -5.024 eV per atom. As for the space group: I-4, No. 82. Its density of states at the Fermi level is 8.71 states/eV/cell. The value obtained for the energy relative to the elements, uncorrected is -0.965 eV/atom.

abc: 7.2756 7.2756 7.2756
angles: 93.91 117.77 117.77
Last column: nearest neighbours and their distance in Å.
Fractional coordinates of all 8 atoms:
U1 0.5000 0.2500 0.7500  4 S 2.64
Rb1 0.0000 0.0000 0.0000  4 S 3.39
S1 0.0729 0.2081 0.6186  1 In 2.53, 1 U 2.64
S2 0.4105 0.8648 0.7919  1 In 2.53, 1 U 2.64
S3 0.5895 0.3814 0.4543  1 In 2.53, 1 U 2.64
Rb2 0.5000 0.7500 0.2500  4 S 3.33
S4 0.9271 0.5457 0.1352  1 In 2.53, 1 U 2.64
In1 0.0000 0.5000 0.5000  4 S 2.53


# 7
Mg2As: optimized geometry, PBE.

Values from the calculation:
As for the formation energy: -0.30 eV per atom. The calculation puts the total DFT energy (no corrections) at -2.915 eV per atom. As for the space group: Fm-3m, No. 225. Its density of states at the Fermi level is 2.49 states/eV/cell.

abc: 4.6168 4.6168 4.6168
angles: 60.00 60.00 60.00
Last column: nearest neighbours and their distance in Å.
Fractional coordinates of all 3 atoms:
Mg1 0.2500 0.2500 0.2500  4 As 2.83
As1 0.0000 0.0000 0.0000  8 Mg 2.83
Mg2 0.7500 0.7500 0.7500  4 As 2.83


# 8
PmNd2Pu: optimized geometry, PBE.

Values from the calculation:
As for the formation energy: 0.15 eV per atom. The calculation puts the total DFT energy (no corrections) at -7.000 eV per atom. As for the space group: P4/mmm, No. 123. Its density of states at the Fermi level is 16.39 states/eV/cell. For the energy relative to the lowest polymorph listed for this composition, the calculation gives 38 meV per atom.

abc: 5.0830 5.0939 5.0939
angles: 90.00 90.00 90.00
Last column: nearest neighbours and their distance in Å.
Fractional coordinates of all 4 atoms:
Nd1 0.0000 0.5000 0.0000  4 Pm 3.60, 4 Pu 3.60, 4 Nd 3.60
Pm1 0.5000 0.5000 0.5000  8 Nd 3.60, 4 Pu 3.60
Pu1 0.5000 0.0000 0.0000  8 Nd 3.60, 4 Pm 3.60
Nd2 0.0000 0.0000 0.5000  4 Pm 3.60, 4 Pu 3.60, 4 Nd 3.60


# 9
TbDyEr2Sc2: optimized geometry, PBE.

Values from the calculation:
As for the formation energy: 0.08 eV per atom. The calculation puts the total DFT energy (no corrections) at -5.095 eV per atom. As for the space group: Pnnm, No. 58. Its density of states at the Fermi level is 23.34 states/eV/cell.

abc: 5.4444 9.4058 6.7574
angles: 90.00 90.00 90.00
Last column: nearest neighbours and their distance in Å.
Fractional coordinates of all 12 atoms:
Sc1 0.0000 0.3332 0.7499  5 Er 3.13-3.38
Er1 0.5000 0.8335 0.2498  5 Sc 3.13-3.38
Er2 0.5000 0.1665 0.7502  5 Sc 3.13-3.38
Sc2 0.5000 0.1668 0.2499  5 Er 3.13-3.38
Sc3 0.0000 0.6668 0.2501  5 Er 3.13-3.38
Sc4 0.5000 0.8332 0.7501  5 Er 3.13-3.38
Tb1 0.5000 0.5000 0.0000  2 Dy 3.38, 6 Sc 3.56-3.57, 6 Er 3.56-3.57
Tb2 0.0000 0.0000 0.5000  2 Dy 3.38, 6 Sc 3.56-3.57, 6 Er 3.56-3.57
Dy1 0.0000 0.0000 0.0000  2 Tb 3.38, 6 Sc 3.56-3.57, 6 Er 3.56-3.57
Er3 0.0000 0.6665 0.7498  5 Sc 3.13-3.38
Er4 0.0000 0.3335 0.2502  5 Sc 3.13-3.38
Dy2 0.5000 0.5000 0.5000  2 Tb 3.38, 6 Sc 3.56-3.57, 6 Er 3.56-3.57


# 10
K2SnBrCl3: optimized geometry, PBE.

Values from the calculation:
The calculation puts the total DFT energy (no corrections) at -3.358 eV per atom. As for the space group: Immm, No. 71. The value obtained for the energy relative to the elements, uncorrected is -1.442 eV/atom.

abc: 5.8424 5.5766 9.0155
angles: 108.02 108.91 90.00
Last column: nearest neighbours and their distance in Å.
Fractional coordinates of all 7 atoms:
Sn1 0.0000 0.0000 0.0000  4 Cl 2.79, 2 Br 2.92
Cl1 0.8266 0.8266 0.6533  1 Sn 2.79, 1 K 3.01
K1 0.3599 0.3599 0.7198  1 Cl 3.01
Br1 0.5000 0.0000 0.0000  2 Sn 2.92
K2 0.6401 0.6401 0.2802  1 Cl 3.01
Cl2 0.0000 0.5000 0.0000  2 Sn 2.79
Cl3 0.1734 0.1734 0.3467  1 Sn 2.79, 1 K 3.01


# 11
FeCuPd: optimized geometry, PBE.

Values from the calculation:
As for the formation energy: -0.01 eV per atom. The calculation puts the total DFT energy (no corrections) at -5.929 eV per atom. As for the space group: P-1, No. 2. Its density of states at the Fermi level is 3.99 states/eV/cell. For the energy relative to the lowest polymorph listed for this composition, the calculation gives 3 meV per atom.

abc: 4.6181 4.6355 6.2937
angles: 111.11 69.27 59.15
Last column: nearest neighbours and their distance in Å.
Fractional coordinates of all 6 atoms:
Cu1 0.9172 0.2847 0.5410  2 Cu 2.59, 5 Fe 2.63-2.71, 5 Pd 2.63-2.70
Fe1 0.7514 0.4286 0.0409  5 Pd 2.60-2.69, 5 Cu 2.63-2.71, 2 Fe 2.67-2.68
Fe2 0.5796 0.9476 0.5408  5 Pd 2.60-2.69, 5 Cu 2.63-2.71, 2 Fe 2.67-2.68
Cu2 0.4141 0.0913 0.0404  2 Cu 2.59, 5 Fe 2.63-2.71, 5 Pd 2.63-2.70
Pd1 0.2363 0.6229 0.5407  5 Fe 2.60-2.69, 5 Cu 2.63-2.70, 2 Pd 2.73-2.74
Pd2 0.0948 0.7533 0.0409  5 Fe 2.60-2.69, 5 Cu 2.63-2.70, 2 Pd 2.73-2.74


# 12
TbLuCuPd: optimized geometry, PBE.

Values from the calculation:
As for the formation energy: -0.59 eV per atom. The calculation puts the total DFT energy (no corrections) at -5.200 eV per atom. As for the space group: F-43m, No. 216. Its density of states at the Fermi level is 3.22 states/eV/cell.

abc: 4.8998 4.8998 4.8998
angles: 60.00 60.00 60.00
Last column: nearest neighbours and their distance in Å.
Fractional coordinates of all 4 atoms:
Pd1 0.7500 0.7500 0.7500  4 Tb 3.00, 4 Lu 3.00
Cu1 0.2500 0.2500 0.2500  4 Tb 3.00, 4 Lu 3.00
Lu1 0.5000 0.5000 0.5000  4 Cu 3.00, 4 Pd 3.00
Tb1 0.0000 0.0000 0.0000  4 Cu 3.00, 4 Pd 3.00


Q: The highest total DFT energy (no corrections) belongs to which entry?
A: Mg2As